A plane-wave DFT calculation with GGA+U was carried out for an optimized crystal structure of MgCr2O.

Unit cell a=6.406 b=6.406 c=6.406 alpha=90.00 beta=90.00 gamma=90.00
Space group Fm-3m (No. 225)
Asymmetric unit:
1 Mg 0.000 0.000 0.000
2 Cr 0.250 0.250 0.250
3 O 0.000 0.000 0.500

Summary:
N(E_F) = 0.07 states/eV per atom
Uncorrected energy = -5.029 eV per atom
ΔE to the lowest computed polymorph = 717 meV/atom